1:
Entry from Alexandria: a geometry-optimized Li4CaHg8 structure (GGA-PBE).

a b c (Å): 7.3970 7.3970 20.4183
angles (deg): 90.00 90.00 120.00
Space group R-3m (No. 166, hexagonal axes)
One atom of each set of equivalent atoms:
Li 0.0000 0.0000 0.0000 x3
Li 0.0000 0.5000 0.5000 x9
Ca 0.0000 0.0000 0.5000 x3
Hg 0.0000 0.0000 0.2545 x6
Hg 0.0403 0.5201 0.2817 x18

2:
Entry from Alexandria: a geometry-optimized Li4CaHg8 structure (GGA-PBE).

a b c (Å): 9.7892 9.7892 5.8477
angles (deg): 90.00 90.00 90.00
Space group I4/mmm (No. 139)
One atom of each set of equivalent atoms:
Li 0.2500 0.2500 0.2500 x8
Ca 0.0000 0.0000 0.0000 x2
Hg 0.0000 0.2164 0.5000 x8
Hg 0.0000 0.3326 0.0000 x8

Most stable to least stable: 2, 1

1:
Entry from Alexandria: a geometry-optimized Li3CaHg structure (GGA-PBE).

a b c (Å): 5.0808 5.0808 5.0808
angles (deg): 90.00 90.00 90.00
Space group Pm-3m (No. 221)
One atom of each set of equivalent atoms:
Li 0.0000 0.0000 0.5000 x3
Ca 0.5000 0.5000 0.5000 x1
Hg 0.0000 0.0000 0.0000 x1

2:
Entry from Alexandria: a geometry-optimized Li3CaHg structure (GGA-PBE).

a b c (Å): 7.3294 4.3128 7.9078
angles (deg): 90.00 104.59 90.00
Space group P2_1/m (No. 11)
One atom of each set of equivalent atoms:
Li 0.0950 0.2500 0.1377 x2
Li 0.3351 0.7500 0.3982 x2
Li 0.3484 0.7500 0.0251 x2
Ca 0.1849 0.2500 0.6770 x2
Hg 0.4831 0.2500 0.2491 x2

Most stable to least stable: 2, 1

1:
Entry from Alexandria: a geometry-optimized Sr2LiCaHg structure (GGA-PBE).

a b c (Å): 6.2624 6.2624 5.9774
angles (deg): 90.00 90.00 90.00
Space group P4/mmm (No. 123)
One atom of each set of equivalent atoms:
Sr 0.0000 0.5000 0.0000 x2
Li 0.0000 0.0000 0.5000 x1
Ca 0.5000 0.5000 0.5000 x1
Hg 0.5000 0.5000 0.0000 x1

2:
Entry from Alexandria: a geometry-optimized Sr2LiCaHg structure (GGA-PBE).

a b c (Å): 6.3776 6.3776 5.1328
angles (deg): 90.00 90.00 90.00
Space group P4/mmm (No. 123)
One atom of each set of equivalent atoms:
Sr 0.0000 0.5000 0.0000 x2
Li 0.0000 0.0000 0.5000 x1
Ca 0.5000 0.5000 0.5000 x1
Hg 0.0000 0.0000 0.0000 x1

Most stable to least stable: 2, 1

1:
Entry from Alexandria: a geometry-optimized SrLi2CaHg structure (GGA-PBE).

a b c (Å): 5.3929 5.3929 5.8042
angles (deg): 90.00 90.00 90.00
Space group P4/mmm (No. 123)
One atom of each set of equivalent atoms:
Sr 0.0000 0.0000 0.0000 x1
Li 0.0000 0.5000 0.5000 x2
Ca 0.5000 0.5000 0.0000 x1
Hg 0.5000 0.5000 0.5000 x1

2:
Entry from Alexandria: a geometry-optimized SrLi2CaHg structure (GGA-PBE).

a b c (Å): 4.2445 5.1004 14.3272
angles (deg): 90.00 90.00 90.00
Space group Imm2 (No. 44)
One atom of each set of equivalent atoms:
Sr 0.0000 0.0000 0.0000 x2
Li 0.0000 0.0000 0.6155 x2
Li 0.0000 0.5000 0.2926 x2
Ca 0.0000 0.5000 0.7636 x2
Hg 0.0000 0.0000 0.4234 x2

Most stable to least stable: 2, 1